Entry from Alexandria: a geometry-optimized ReTc2Sb structure (GGA-PBEsol).

Cell lengths 4.434, 4.434, 4.434 Å; angles 60.00, 60.00, 60.00 degrees
Atoms (fractional coordinates):
Tc1 0.000 0.000 0.000
Tc2 0.750 0.750 0.750
Re1 0.500 0.500 0.500
Sb1 0.250 0.250 0.250

Output
Crystal system: cubic
Formation energy from raw total energies (eV/atom): 0.3908